First-principles (PBE-GGA) data for a relaxed structure of LaSc2RuO8, as listed in the Alexandria database. Values from VASP.

Quantum ESPRESSO input file:
```
&SYSTEM
  ibrav = 0, nat = 12, ntyp = 4
/
ATOMIC_SPECIES
La 138.91 La.upf
Sc 44.96 Sc.upf
Ru 101.07 Ru.upf
O 16.00 O.upf
CELL_PARAMETERS angstrom
4.873 0.000 0.000
0.000 6.708 0.000
-0.069 0.000 4.888
ATOMIC_POSITIONS crystal
La 0.000 0.000 0.000
Sc 0.500 0.250 0.500
Sc 0.500 0.750 0.500
Ru 0.000 0.500 0.000
O 0.198 0.298 0.195
O 0.198 0.702 0.195
O 0.280 0.500 0.718
O 0.325 0.000 0.673
O 0.675 0.000 0.327
O 0.720 0.500 0.282
O 0.802 0.298 0.805
O 0.802 0.702 0.805
```

Output
- Total magnetic moment: 1.239 μB/f.u.
- Crystal system: monoclinic
- Calculated volume: 160 Å³ per cell
- Energy relative to the elements, uncorrected: -2345.1 meV/atom

First-principles (PBE-GGA) data for a relaxed structure of La2ScRuO6, as listed in the Alexandria database. Values from VASP.

Quantum ESPRESSO input file:
```
&SYSTEM
  ibrav = 0, nat = 20, ntyp = 4
/
ATOMIC_SPECIES
La 138.91 La.upf
Sc 44.96 Sc.upf
Ru 101.07 Ru.upf
O 16.00 O.upf
CELL_PARAMETERS angstrom
5.678 0.000 0.000
0.000 8.073 0.000
0.000 0.000 5.764
ATOMIC_POSITIONS crystal
La 0.250 0.019 0.221
La 0.250 0.481 0.221
La 0.750 0.519 0.779
La 0.750 0.981 0.779
Sc 0.250 0.250 0.730
Sc 0.750 0.750 0.270
Ru 0.250 0.750 0.763
Ru 0.750 0.250 0.237
O 0.006 0.250 0.996
O 0.009 0.250 0.474
O 0.250 0.501 0.778
O 0.250 0.999 0.778
O 0.491 0.250 0.474
O 0.494 0.250 0.996
O 0.506 0.750 0.004
O 0.509 0.750 0.526
O 0.750 0.001 0.222
O 0.750 0.499 0.222
O 0.991 0.750 0.526
O 0.994 0.750 0.004
```

Output
- Total magnetic moment: 1.024 μB/f.u.
- Crystal system: orthorhombic
- Calculated volume: 264 Å³ per cell
- Energy relative to the elements, uncorrected: -2688.7 meV/atom

First-principles (PBE-GGA) data for a relaxed structure of LaSm2RuO8, as listed in the Alexandria database. Values from VASP.

Quantum ESPRESSO input file:
```
&SYSTEM
  ibrav = 0, nat = 12, ntyp = 4
/
ATOMIC_SPECIES
La 138.91 La.upf
Sm 150.36 Sm.upf
Ru 101.07 Ru.upf
O 16.00 O.upf
CELL_PARAMETERS angstrom
5.153 0.000 0.000
0.000 7.030 0.000
-0.018 0.000 5.161
ATOMIC_POSITIONS crystal
La 0.000 0.000 0.000
Sm 0.500 0.252 0.500
Sm 0.500 0.748 0.500
Ru 0.000 0.500 0.000
O 0.183 0.300 0.181
O 0.183 0.700 0.181
O 0.259 0.500 0.739
O 0.312 0.000 0.685
O 0.688 0.000 0.315
O 0.741 0.500 0.261
O 0.817 0.300 0.819
O 0.817 0.700 0.819
```

Output
- Total magnetic moment: 1.038 μB/f.u.
- Crystal system: monoclinic
- Calculated volume: 187 Å³ per cell
- Energy relative to the elements, uncorrected: -2330.0 meV/atom

no.,VASP energy (eV per atom)
1,-7.889
2,-8.210
3,-7.606